# GGA-PBE La2ZnCoBi, optimized geometry
# Density of states at the Fermi level, states/eV/atom: 0.461
# Uncorrected energy, hartree per atom: -0.1815
# ΔE_f, eV per atom: -0.515
data_La2ZnCoBi
_chemical_formula_sum 'La2 Zn1 Co1 Bi1'
_cell_length_a 5.2783
_cell_length_b 5.2783
_cell_length_c 4.7373
_cell_angle_alpha 90.00
_cell_angle_beta 90.00
_cell_angle_gamma 90.00
_symmetry_space_group_name_H-M 'P 4/m m m'
_symmetry_Int_Tables_number 123
_symmetry_space_group_name_Hall '-P 4 2'
loop_
_atom_site_label
_atom_site_fract_x
_atom_site_fract_y
_atom_site_fract_z
La1 0.0000 0.5000 0.0000
Zn1 0.0000 0.0000 0.5000
Co1 0.0000 0.0000 0.0000
Bi1 0.5000 0.5000 0.5000